This record from the Alexandria database describes a relaxed structure of Mg2ZrFe. The functional is GGA-PBE.

## Properties
The calculation puts the formation energy at 0.242 eV per atom. The total magnetic moment comes out at 1.86 μB per cell.

```
data_Mg2ZrFe
_space_group_name_H-M_alt 'P m m m'
_space_group_IT_number 47
_space_group_name_Hall '-P 2 2'
_cell_length_a 2.878
_cell_length_b 4.419
_cell_length_c 5.869
_cell_angle_alpha 90.00
_cell_angle_beta 90.00
_cell_angle_gamma 90.00
loop_
_atom_site_label
_atom_site_type_symbol
_atom_site_fract_x
_atom_site_fract_y
_atom_site_fract_z
_atom_site_occupancy
Mg1 Mg 0.000 0.000 0.230 1
Zr1 Zr 0.500 0.500 0.500 1
Fe1 Fe 0.500 0.500 0.000 1
```